{"formula": "FeTePt", "functional": "PBE", "state": "relaxed", "polymorph_energy_mev_per_atom": 96, "dos_at_fermi_per_ev_cell": 3.57, "spacegroup": "I4mm", "e_form_raw_ev_per_atom": 0.203, "dft_energy_ev_per_atom": -5.679, "lattice": [[-1.811, 1.811, 4.032], [1.811, -1.811, 4.032], [1.811, 1.811, -4.032]], "species": ["Fe", "Te", "Pt"], "frac_coords": [[0.000, 0.000, 0.000], [0.669, 0.669, 0.000], [0.339, 0.339, 0.000]]}